VASP calculation (PBE-GGA) on a relaxed structure of Ac8Ir2RuPt.

SG = P2/m
Raw total energy = -6.0334 eV/atom
Crystal system = monoclinic

a = 7.0192 Å, b = 8.9129 Å, c = 7.1817 Å
α = 90.00°, β = 90.19°, γ = 90.00°
Last column: nearest neighbours and their distance in Å.
Fractional positions:
Ac (0.2180, 0.0000, 0.3263)  2 Ir 2.98, 1 Pt 3.07
Ac (0.2269, 0.5000, 0.3235)  1 Ru 3.02, 2 Ir 3.02
Ac (0.2745, 0.2580, 0.8231)  1 Ru 2.96, 1 Ir 3.01, 1 Pt 3.06
Ac (0.2745, 0.7420, 0.8231)  1 Ru 2.96, 1 Ir 3.01, 1 Pt 3.06
Ac (0.7255, 0.2580, 0.1769)  1 Ru 2.96, 1 Ir 3.01, 1 Pt 3.06
Ac (0.7255, 0.7420, 0.1769)  1 Ru 2.96, 1 Ir 3.01, 1 Pt 3.06
Ac (0.7731, 0.5000, 0.6765)  1 Ru 3.02, 2 Ir 3.02
Ac (0.7820, 0.0000, 0.6737)  2 Ir 2.98, 1 Pt 3.07
Ir (0.0000, 0.2505, 0.5000)  6 Ac 2.98-3.02
Ir (0.0000, 0.7495, 0.5000)  6 Ac 2.98-3.02
Ru (0.5000, 0.5000, 0.0000)  6 Ac 2.96-3.02
Pt (0.5000, 0.0000, 0.0000)  6 Ac 3.06-3.07

VASP calculation (PBE-GGA) on a relaxed structure of Ac6Ir2RuPt.

SG = P1
Raw total energy = -6.3516 eV/atom
Crystal system = triclinic

a = 7.5088 Å, b = 7.5186 Å, c = 8.1399 Å
α = 90.06°, β = 117.45°, γ = 119.94°
Last column: nearest neighbours and their distance in Å.
Fractional positions:
Ac (0.0000, 0.0000, 0.0000)  1 Ru 3.01, 2 Ir 3.03-3.04, 1 Pt 3.09
Ac (0.0020, 0.1792, 0.5080)  1 Ru 2.98, 2 Ir 3.01-3.02, 1 Pt 3.08
Ac (0.3379, 0.6676, 0.9994)  1 Ru 3.01, 2 Ir 3.03-3.04, 1 Pt 3.09
Ac (0.3577, 0.8460, 0.5075)  1 Ru 2.98, 2 Ir 3.01-3.02, 1 Pt 3.08
Ac (0.6682, 0.4895, 0.5080)  1 Ru 2.98, 2 Ir 3.00-3.02, 1 Pt 3.08
Ac (0.6710, 0.3388, 0.9995)  1 Ru 3.01, 2 Ir 3.03-3.04, 1 Pt 3.09
Ir (0.5017, 0.0846, 0.2465)  6 Ac 3.02-3.04
Ir (0.5027, 0.5854, 0.7484)  6 Ac 3.00-3.03
Ru (0.8432, 0.2550, 0.7593)  6 Ac 2.98-3.01
Pt (0.8475, 0.7574, 0.2663)  6 Ac 3.08-3.09

VASP calculation (PBE-GGA) on a relaxed structure of Ac5IrRuPt2.

SG = Cmc2_1
Raw total energy = -6.2530 eV/atom
Crystal system = orthorhombic

a = 9.7429 Å, b = 9.7429 Å, c = 13.2397 Å
α = 90.00°, β = 90.00°, γ = 154.36°
Last column: nearest neighbours and their distance in Å.
Fractional positions:
Ac (0.0029, 0.9971, 0.5000)  1 Ir 2.90, 2 Pt 3.16
Ac (0.1708, 0.8292, 0.2139)  1 Ru 2.94, 2 Pt 3.19
Ac (0.1814, 0.8186, 0.8613)  1 Ir 2.97, 2 Ru 3.07
Ac (0.2038, 0.7962, 0.5363)  1 Ir 2.97, 2 Ru 3.08, 2 Pt 3.19
Ac (0.4966, 0.5034, 0.7485)  2 Ir 2.88, 1 Pt 3.15
Ac (0.5034, 0.4966, 0.2485)  2 Ir 2.88, 1 Pt 3.15
Ac (0.7962, 0.2038, 0.0363)  1 Ir 2.97, 2 Ru 3.08, 2 Pt 3.19
Ac (0.8186, 0.1814, 0.3613)  1 Ir 2.97, 2 Ru 3.07
Ac (0.8292, 0.1708, 0.7139)  1 Ru 2.94, 2 Pt 3.19
Ac (0.9971, 0.0029, 0.0000)  1 Ir 2.90, 2 Pt 3.16
Ir (0.0859, 0.9141, 0.6834)  2 Ru 2.75, 5 Ac 2.88-2.97
Ir (0.9141, 0.0859, 0.1834)  2 Ru 2.75, 5 Ac 2.88-2.97
Ru (0.3248, 0.6752, 0.1967)  2 Ir 2.75, 5 Ac 2.94-3.08
Ru (0.6752, 0.3248, 0.6967)  2 Ir 2.75, 5 Ac 2.94-3.08
Pt (0.3608, 0.6392, 0.8856)  6 Ac 3.15-3.42
Pt (0.3855, 0.6145, 0.5436)  8 Ac 3.16-3.48
Pt (0.6145, 0.3855, 0.0436)  8 Ac 3.16-3.48
Pt (0.6392, 0.3608, 0.3856)  6 Ac 3.15-3.42

VASP calculation (PBE-GGA) on a relaxed structure of Ac6Ir2PtS.

SG = R3
Energy relative to the elements, uncorrected = -0.929 eV per atom
Crystal system = trigonal

a = 8.3302 Å, b = 8.3302 Å, c = 8.3302 Å
α = 53.89°, β = 53.89°, γ = 53.89°
Last column: nearest neighbours and their distance in Å.
Fractional positions:
Ac (0.0234, 0.3237, 0.6529)  2 Ir 3.00-3.06, 1 S 3.09, 1 Pt 3.09
Ac (0.1621, 0.8222, 0.5267)  2 Ir 3.02-3.05, 1 Pt 3.05, 1 S 3.15
Ac (0.3237, 0.6529, 0.0234)  2 Ir 3.00-3.06, 1 S 3.09, 1 Pt 3.09
Ac (0.5267, 0.1621, 0.8222)  2 Ir 3.02-3.05, 1 Pt 3.05, 1 S 3.15
Ac (0.6529, 0.0234, 0.3237)  2 Ir 3.00-3.06, 1 S 3.09, 1 Pt 3.09
Ac (0.8222, 0.5267, 0.1621)  2 Ir 3.02-3.05, 1 Pt 3.05, 1 S 3.15
Ir (0.4236, 0.4236, 0.4236)  6 Ac 3.02-3.06
Ir (0.9252, 0.9252, 0.9252)  6 Ac 3.00-3.05
Pt (0.2405, 0.2405, 0.2405)  6 Ac 3.05-3.09
S (0.7414, 0.7414, 0.7414)  6 Ac 3.09-3.15

| no. | magnetic moment (μB/cell) | volume (Å³ per atom) |
| --- | --- | --- |
| 1 | 0.00 | 37.4 |
| 2 | 0.00 | 33.7 |
| 3 | 0.00 | 30.2 |
| 4 | 0.00 | 35.0 |